Record 1
Material: HgSOF2
Method: DFT, PBE-GGA
State: optimized geometry

Summary:
- Energy relative to the elements, uncorrected: -0.4756 eV/atom

abc: 4.654 4.654 3.408
angles: 90.00 90.00 90.00
Atoms (fractional coordinates):
O  0.000  0.000  0.500
F  0.000  0.500  0.000
Hg  0.500  0.500  0.500
F  0.500  0.000  0.000
S  0.000  0.000  0.000

=====

Record 2
Material: HgSO4F
Method: DFT, PBE-GGA
State: optimized geometry

Summary:
- Energy relative to the elements, uncorrected: -0.8857 eV/atom

abc: 6.618 6.618 5.888
angles: 79.07 79.07 67.81
Atoms (fractional coordinates):
O  0.688  0.688  0.458
O  0.481  0.481  0.210
O  0.126  0.445  0.187
O  0.445  0.126  0.187
S  0.342  0.342  0.286
O  0.874  0.555  0.813
S  0.658  0.658  0.714
O  0.519  0.519  0.790
F  0.028  0.028  0.753
O  0.555  0.874  0.813
Hg  0.162  0.162  0.965
Hg  0.838  0.838  0.035
F  0.972  0.972  0.247
O  0.312  0.312  0.542